# 1
Computed, not measured: a relaxed structure of ReRh3 at the GGA-PBEsol level of DFT.

Cell: 2.679 2.679 7.652 Å, 90.00 90.00 90.00°
Space group P4/mmm (No. 123)
Symmetry-distinct sites (fractional):
1 Re 0.000 0.000 0.000 (multiplicity 1)
2 Rh 0.000 0.000 0.500 (multiplicity 1)
3 Rh 0.500 0.500 0.247 (multiplicity 2)

Properties
Energy relative to the elements = -0.06 eV per atom
Offset from the most stable computed form = 0.162 eV/f.u.
Magnetic moment = 0.001 μB/cell


# 2
Computed, not measured: a relaxed structure of ReRh3 at the GGA-PBEsol level of DFT.

Cell: 5.4131 5.4131 4.2993 Å, 90.00 90.00 120.00°
Space group P6_3/mmc (No. 194)
Symmetry-distinct sites (fractional):
1 Re 0.3333 0.6667 0.2500 (multiplicity 2)
2 Rh 0.1680 0.3361 0.7500 (multiplicity 6)

Properties
Energy relative to the elements = -0.10 eV per atom
Offset from the most stable computed form = 0.000 eV/f.u.
Magnetic moment = 0.000 μB/cell


# 3
Computed, not measured: a relaxed structure of ReRh3 at the GGA-PBEsol level of DFT.

Cell: 4.643 4.643 4.643 Å, 90.00 90.00 90.00°
Space group Pm-3m (No. 221)
Symmetry-distinct sites (fractional):
1 Re 0.000 0.000 0.000 (multiplicity 1)
2 Rh 0.000 0.000 0.500 (multiplicity 3)

Properties
Energy relative to the elements = 1.96 eV per atom
Offset from the most stable computed form = 8.241 eV/f.u.
Magnetic moment = 0.000 μB/cell


# 4
Computed, not measured: a relaxed structure of Re3Rh at the GGA-PBEsol level of DFT.

Cell: 5.492 13.233 4.713 Å, 90.00 90.00 90.00°
Space group Pmmn (No. 59, origin choice 2)
Symmetry-distinct sites (fractional):
1 Re 0.001 0.085 0.167 (multiplicity 8)
2 Re 0.002 0.750 0.492 (multiplicity 4)
3 Re 0.250 0.250 0.014 (multiplicity 2)
4 Re 0.250 0.585 0.333 (multiplicity 4)
5 Rh 0.250 0.083 0.666 (multiplicity 4)
6 Rh 0.250 0.750 0.992 (multiplicity 2)

Properties
Energy relative to the elements = -0.08 eV per atom
Magnetic moment = 0.000 μB/cell


# 5
Computed, not measured: a relaxed structure of ReRh2 at the GGA-PBEsol level of DFT.

Cell: 7.3270 7.3270 2.6987 Å, 90.00 90.00 120.00°
Space group P-62m (No. 189)
Symmetry-distinct sites (fractional):
1 Re 0.0000 0.0000 0.0000 (multiplicity 1)
2 Re 0.3333 0.6667 0.5000 (multiplicity 2)
3 Rh 0.0000 0.3608 0.0000 (multiplicity 3)
4 Rh 0.0000 0.6978 0.5000 (multiplicity 3)

Properties
Energy relative to the elements = -0.07 eV per atom
Offset from the most stable computed form = 0.355 eV/f.u.
Magnetic moment = 0.004 μB/cell


# 6
Computed, not measured: a relaxed structure of ReRh2 at the GGA-PBEsol level of DFT.

Cell: 9.898 2.702 6.372 Å, 90.00 104.20 90.00°
Space group Cm (No. 8)
Symmetry-distinct sites (fractional):
1 Re 0.000 0.000 0.000 (multiplicity 2)
2 Re 0.170 0.500 0.336 (multiplicity 2)
3 Rh 0.059 0.000 0.610 (multiplicity 2)
4 Rh 0.220 0.500 0.949 (multiplicity 2)
5 Rh 0.336 0.000 0.673 (multiplicity 2)
6 Rh 0.393 0.000 0.280 (multiplicity 2)

Properties
Energy relative to the elements = -0.11 eV per atom
Offset from the most stable computed form = 0.253 eV/f.u.
Magnetic moment = 0.001 μB/cell


# 7
Computed, not measured: a relaxed structure of ReRh2 at the GGA-PBEsol level of DFT.

Cell: 2.6966 2.6966 6.5916 Å, 90.00 90.00 120.00°
Space group P-3m1 (No. 164)
Symmetry-distinct sites (fractional):
1 Re 0.0000 0.0000 0.0000 (multiplicity 1)
2 Rh 0.3333 0.6667 0.3276 (multiplicity 2)

Properties
Energy relative to the elements = -0.08 eV per atom
Offset from the most stable computed form = 0.325 eV/f.u.
Magnetic moment = 0.000 μB/cell


# 8
Computed, not measured: a relaxed structure of ReRh2 at the GGA-PBEsol level of DFT.

Cell: 4.286 4.286 2.748 Å, 90.00 90.00 90.00°
Space group P4/mmm (No. 123)
Symmetry-distinct sites (fractional):
1 Re 0.000 0.000 0.000 (multiplicity 1)
2 Rh 0.000 0.500 0.500 (multiplicity 2)

Properties
Energy relative to the elements = 0.72 eV per atom
Offset from the most stable computed form = 2.745 eV/f.u.
Magnetic moment = 0.000 μB/cell


# 9
Computed, not measured: a relaxed structure of Re3Rh at the GGA-PBEsol level of DFT.

Cell: 5.4707 5.4707 8.7789 Å, 90.00 90.00 120.00°
Space group P6_3/mmc (No. 194)
Symmetry-distinct sites (fractional):
1 Re 0.0000 0.5000 0.0000 (multiplicity 6)
2 Re 0.1696 0.3393 0.2500 (multiplicity 6)
3 Rh 0.0000 0.0000 0.0000 (multiplicity 2)
4 Rh 0.3333 0.6667 0.7500 (multiplicity 2)

Properties
Energy relative to the elements = -0.11 eV per atom
Magnetic moment = 0.000 μB/cell


# 10
Computed, not measured: a relaxed structure of ReRh3 at the GGA-PBEsol level of DFT.

Cell: 8.923 2.676 4.654 Å, 90.00 99.88 90.00°
Space group C2/m (No. 12)
Symmetry-distinct sites (fractional):
1 Re 0.000 0.000 0.000 (multiplicity 2)
2 Rh 0.000 0.500 0.500 (multiplicity 2)
3 Rh 0.248 0.500 0.247 (multiplicity 4)

Properties
Energy relative to the elements = -0.06 eV per atom
Offset from the most stable computed form = 0.163 eV/f.u.
Magnetic moment = 0.000 μB/cell


# 11
Computed, not measured: a relaxed structure of ReRh5 at the GGA-PBEsol level of DFT.

Cell: 9.861 2.701 6.341 Å, 90.00 104.29 90.00°
Space group Cm (No. 8)
Symmetry-distinct sites (fractional):
1 Re 0.000 0.000 0.000 (multiplicity 2)
2 Rh 0.055 0.000 0.613 (multiplicity 2)
3 Rh 0.165 0.500 0.331 (multiplicity 2)
4 Rh 0.220 0.500 0.946 (multiplicity 2)
5 Rh 0.337 0.000 0.674 (multiplicity 2)
6 Rh 0.392 0.000 0.276 (multiplicity 2)

Properties
Energy relative to the elements = -0.07 eV per atom
Offset from the most stable computed form = 0.074 eV/f.u.
Magnetic moment = 0.001 μB/cell


# 12
Computed, not measured: a relaxed structure of Re5Rh3 at the GGA-PBEsol level of DFT.

Cell: 2.723 8.702 9.489 Å, 90.00 90.00 90.00°
Space group Amm2 (No. 38)
Symmetry-distinct sites (fractional):
1 Re 0.000 0.000 0.000 (multiplicity 2)
2 Re 0.000 0.000 0.499 (multiplicity 2)
3 Re 0.000 0.248 0.333 (multiplicity 4)
4 Re 0.500 0.000 0.250 (multiplicity 2)
5 Rh 0.500 0.000 0.748 (multiplicity 2)
6 Rh 0.500 0.249 0.580 (multiplicity 4)

Properties
Energy relative to the elements = -0.16 eV per atom
Offset from the most stable computed form = 0.000 eV/f.u.
Magnetic moment = 0.000 μB/cell